Entry 1:
Entry from Alexandria via LeMat-Bulk: a relaxed ErAlAu crystal (PBEsol).

Formation enthalpy at 0 K   -0.8308 eV/atom
Total energy   -5.145 eV per atom

Cell: 7.042 4.396 7.660 Å, 90.00 90.00 90.00°
Space group Pnma (No. 62)
Symmetry-distinct sites (fractional):
Er  0.009  0.250  0.196 x4
Al  0.172  0.250  0.577 x4
Au  0.215  0.750  0.404 x4



Entry 2:
Entry from Alexandria via LeMat-Bulk: a relaxed ErAl7Au3 crystal (PBEsol).

Formation enthalpy at 0 K   -0.5416 eV/atom
Total energy   -4.663 eV per atom

Cell: 7.9883 7.9883 20.8974 Å, 90.00 90.00 120.00°
Space group R-3c (No. 167, hexagonal axes)
Symmetry-distinct sites (fractional):
Er  0.0000  0.0000  0.0000 x6
Al  0.0000  0.0000  0.2500 x6
Al  0.0105  0.2078  0.1368 x36
Au  0.0000  0.3250  0.2500 x18



Entry 3:
Entry from Alexandria via LeMat-Bulk: a relaxed EuAlAu crystal (PBEsol).

Formation enthalpy at 0 K   -0.7136 eV/atom
Total energy   -6.907 eV per atom

Cell: 7.382 4.556 7.681 Å, 90.00 90.00 90.00°
Space group Pnma (No. 62)
Symmetry-distinct sites (fractional):
Eu  0.016  0.250  0.181 x4
Al  0.156  0.250  0.572 x4
Au  0.204  0.750  0.391 x4



Entry 4:
Entry from Alexandria via LeMat-Bulk: a relaxed Eu2Al3Au6 crystal (PBEsol).

Formation enthalpy at 0 K   -0.6818 eV/atom
Total energy   -5.859 eV per atom

Cell: 8.2995 8.2995 21.6097 Å, 90.00 90.00 120.00°
Space group R-3c (No. 167, hexagonal axes)
Symmetry-distinct sites (fractional):
Eu  0.0000  0.0000  0.0895 x12
Al  0.0000  0.1956  0.2500 x18
Au  0.0170  0.3703  0.3494 x36



Entry 5:
Entry from Alexandria via LeMat-Bulk: a relaxed Al2FeAu crystal (PBEsol).

Formation enthalpy at 0 K   -0.0018 eV/atom
Total energy   -5.269 eV per atom

Cell: 6.104 6.104 6.104 Å, 90.00 90.00 90.00°
Space group F-43m (No. 216)
Symmetry-distinct sites (fractional):
Al  0.000  0.000  0.000 x4
Al  0.250  0.250  0.250 x4
Fe  0.250  0.250  0.750 x4
Au  0.000  0.000  0.500 x4



Entry 6:
Entry from Alexandria via LeMat-Bulk: a relaxed AlFe2Au crystal (PBEsol).

Formation enthalpy at 0 K   -0.1454 eV/atom
Total energy   -6.631 eV per atom

Cell: 3.655 3.655 7.929 Å, 90.00 90.00 90.00°
Space group I4/mmm (No. 139)
Symmetry-distinct sites (fractional):
Al  0.000  0.000  0.000 x2
Fe  0.000  0.500  0.250 x4
Au  0.000  0.000  0.500 x2